## YPbW (PBE)

Data for crystalline YPbW at its relaxed geometry.

Summary:
As for the volume: 71.3 Å³ per cell. The calculation puts the size of the total moment at 0.000 μB per atom. As for the formation energy: 638.5 meV per atom. The total energy comes out at -7.0701 eV per atom. As for the space group: No. 156. As for the mass density: 11.178 g cm⁻³.

a b c (Å): 3.3577 3.3577 7.3021
angles (deg): 90.00 90.00 120.00
Element x y z (fractional)
Y1 0.3333 0.6667 0.6444
Pb1 0.0000 0.0000 0.0243
W1 0.6667 0.3333 0.3313

## NpSi2Au (PBE)

Data for crystalline NpSi2Au at its relaxed geometry.

Summary:
As for the volume: 73.0 Å³ per cell. The formation energy without anion corrections is -0.10 eV per atom. The calculation puts the size of the total moment at 0.874 μB per atom. The total energy comes out at -6.8649 eV per atom. As for the space group: No. 123. As for the mass density: 11.145 g cm⁻³.

a b c (Å): 3.8001 4.3838 4.3838
angles (deg): 90.00 90.00 90.00
Each line ends with the local moment (μB).
Element x y z (fractional)
Np1 0.5000 0.0000 0.0000  3.29
Si1 0.0000 0.0000 0.5000  -0.01
Si2 0.0000 0.5000 0.0000  -0.01
Au1 0.5000 0.5000 0.5000  0.05

## Y2ReCl (PBE)

Data for crystalline Y2ReCl at its relaxed geometry.

Summary:
As for the volume: 110.3 Å³ per cell. The formation energy without anion corrections is 0.18 eV per atom. The calculation puts the size of the total moment at 0.469 μB per atom. The total energy comes out at -6.6306 eV per atom. As for the space group: No. 99. As for the mass density: 6.013 g cm⁻³.

a b c (Å): 3.2734 3.2734 10.2955
angles (deg): 90.00 90.00 90.00
Each line ends with the local moment (μB).
Element x y z (fractional)
Y1 0.5000 0.5000 0.2818  0.11
Y2 0.0000 0.0000 0.9785  -0.05
Re1 0.5000 0.5000 0.8028  1.56
Cl1 0.0000 0.0000 0.4368  0.00

## Th4AsCN2 (PBE)

Data for crystalline Th4AsCN2 at its relaxed geometry.

Summary:
As for the volume: 173.5 Å³ per cell. The formation energy without anion corrections is -0.86 eV per atom. The calculation puts the size of the total moment at 0.000 μB per atom. The total energy comes out at -8.3893 eV per atom. As for the space group: No. 121. As for the mass density: 9.983 g cm⁻³.

a b c (Å): 6.6519 6.1237 6.1237
angles (deg): 65.79 57.10 57.10
Element x y z (fractional)
As1 0.0000 0.0000 0.0000
Th1 0.1029 0.8971 0.4672
Th2 0.5328 0.4672 0.8971
Th3 0.8971 0.5328 0.1029
Th4 0.4672 0.1029 0.5328
C1 0.5000 0.5000 0.5000
N1 0.7500 0.7500 0.7500
N2 0.2500 0.2500 0.2500

## LaTcCl2 (PBE)

Data for crystalline LaTcCl2 at its relaxed geometry.

Summary:
As for the volume: 87.6 Å³ per cell. The formation energy without anion corrections is -0.38 eV per atom. The calculation puts the size of the total moment at 0.993 μB per atom. The total energy comes out at -5.1274 eV per atom. As for the space group: No. 225. As for the mass density: 5.834 g cm⁻³.

a b c (Å): 4.9852 4.9852 4.9852
angles (deg): 60.00 60.00 60.00
Each line ends with the local moment (μB).
Element x y z (fractional)
Cl1 0.2500 0.2500 0.2500  0.11
Cl2 0.7500 0.7500 0.7500  0.11
Tc1 0.5000 0.5000 0.5000  2.83
La1 0.0000 0.0000 0.0000  0.13

## MgZnMoIr2 (PBE)

Data for crystalline MgZnMoIr2 at its relaxed geometry.

Summary:
As for the volume: 108.3 Å³ per cell. The calculation puts the size of the total moment at 0.000 μB per atom. As for the formation energy: 981.9 meV per atom. The total energy comes out at -5.3025 eV per atom. As for the space group: No. 123. As for the mass density: 8.742 g cm⁻³.

a b c (Å): 4.7318 4.8363 4.7318
angles (deg): 90.00 90.00 90.00
Element x y z (fractional)
Ir1 0.0000 0.0000 0.5000
Ir2 0.5000 0.0000 0.0000
Mo1 0.0000 0.0000 0.0000
Mg1 0.5000 0.5000 0.5000
Zn1 0.0000 0.5000 0.0000